1.
# PBE-GGA GdSnH, optimized geometry
# Calculated volume ... 60.2 Å³ per cell
# Energy ... -0.569 Ry/atom
# Total magnetic moment ... 7.01 μB/cell
data_GdSnH
_chemical_formula_sum 'Gd1 Sn1 H1'
_symmetry_space_group_name_H-M 'P 1'
_symmetry_Int_Tables_number 1
_symmetry_space_group_name_Hall 'P 1'
_cell_length_a 5.130
_cell_length_b 3.680
_cell_length_c 3.680
_cell_angle_alpha 120.00
_cell_angle_beta 90.00
_cell_angle_gamma 90.00
loop_
_atom_site_label
_atom_site_type_symbol
_atom_site_fract_x
_atom_site_fract_y
_atom_site_fract_z
H1 H 0.167 0.000 0.000
Gd1 Gd 0.167 0.667 0.333
Sn1 Sn 0.667 0.333 0.667

---

2.
# PBE-GGA CaHfHg3, optimized geometry
# Calculated volume ... 163.5 Å³ per cell
# Energy ... -0.171 Ry/atom
# Total magnetic moment ... 1.15 μB/cell
data_CaHfHg3
_chemical_formula_sum 'Ca1 Hf1 Hg3'
_symmetry_space_group_name_H-M 'P 1'
_symmetry_Int_Tables_number 1
_symmetry_space_group_name_Hall 'P 1'
_cell_length_a 5.468
_cell_length_b 5.468
_cell_length_c 5.468
_cell_angle_alpha 90.00
_cell_angle_beta 90.00
_cell_angle_gamma 90.00
loop_
_atom_site_label
_atom_site_type_symbol
_atom_site_fract_x
_atom_site_fract_y
_atom_site_fract_z
Ca1 Ca 0.500 0.500 0.500
Hf1 Hf 0.000 0.000 0.000
Hg1 Hg 0.000 0.500 0.000
Hg2 Hg 0.000 0.000 0.500
Hg3 Hg 0.500 0.000 0.000

---

3.
# PBE-GGA Li2Zn2Ni, optimized geometry
# Calculated volume ... 153.9 Å³ per cell
# Energy ... -0.180 Ry/atom
# Total magnetic moment ... 0.00 μB/cell
data_Li2Zn2Ni
_chemical_formula_sum 'Li4 Zn4 Ni2'
_symmetry_space_group_name_H-M 'P 1'
_symmetry_Int_Tables_number 1
_symmetry_space_group_name_Hall 'P 1'
_cell_length_a 6.260
_cell_length_b 6.260
_cell_length_c 3.927
_cell_angle_alpha 90.00
_cell_angle_beta 90.00
_cell_angle_gamma 90.00
loop_
_atom_site_label
_atom_site_type_symbol
_atom_site_fract_x
_atom_site_fract_y
_atom_site_fract_z
Ni1 Ni 0.000 0.000 0.000
Ni2 Ni 0.500 0.500 0.000
Zn1 Zn 0.356 0.856 0.000
Zn2 Zn 0.856 0.644 0.000
Zn3 Zn 0.644 0.144 0.000
Zn4 Zn 0.144 0.356 0.000
Li1 Li 0.172 0.672 0.500
Li2 Li 0.672 0.828 0.500
Li3 Li 0.828 0.328 0.500
Li4 Li 0.328 0.172 0.500

---

4.
# PBE-GGA CeTlSn, optimized geometry
# Calculated volume ... 85.6 Å³ per cell
# Energy ... -0.316 Ry/atom
# Total magnetic moment ... 1.67 μB/cell
data_CeTlSn
_chemical_formula_sum 'Ce1 Tl1 Sn1'
_symmetry_space_group_name_H-M 'P 1'
_symmetry_Int_Tables_number 1
_symmetry_space_group_name_Hall 'P 1'
_cell_length_a 3.838
_cell_length_b 3.838
_cell_length_c 6.416
_cell_angle_alpha 107.40
_cell_angle_beta 107.40
_cell_angle_gamma 90.00
loop_
_atom_site_label
_atom_site_type_symbol
_atom_site_fract_x
_atom_site_fract_y
_atom_site_fract_z
Tl1 Tl 0.347 0.347 0.694
Sn1 Sn 0.988 0.988 0.976
Ce1 Ce 0.665 0.665 0.330

---

5.
# PBE-GGA ErMoH3, optimized geometry
# Calculated volume ... 49.1 Å³ per cell
# Energy ... -0.397 Ry/atom
# Total magnetic moment ... 0.00 μB/cell
data_ErMoH3
_chemical_formula_sum 'Er1 Mo1 H3'
_symmetry_space_group_name_H-M 'P 1'
_symmetry_Int_Tables_number 1
_symmetry_space_group_name_Hall 'P 1'
_cell_length_a 3.662
_cell_length_b 3.662
_cell_length_c 3.662
_cell_angle_alpha 90.00
_cell_angle_beta 90.00
_cell_angle_gamma 90.00
loop_
_atom_site_label
_atom_site_type_symbol
_atom_site_fract_x
_atom_site_fract_y
_atom_site_fract_z
H1 H 0.000 0.500 0.000
H2 H 0.000 0.000 0.500
H3 H 0.500 0.000 0.000
Mo1 Mo 0.000 0.000 0.000
Er1 Er 0.500 0.500 0.500

---

6.
# PBE-GGA SmCO3, optimized geometry
# Calculated volume ... 237.7 Å³ per cell
# Formation energy (no corrections) ... -1.9382 eV per atom
# Total magnetic moment ... 0.00 μB/cell
data_SmCO3
_chemical_formula_sum 'Sm4 C4 O12'
_symmetry_space_group_name_H-M 'P 1'
_symmetry_Int_Tables_number 1
_symmetry_space_group_name_Hall 'P 1'
_cell_length_a 4.444
_cell_length_b 6.796
_cell_length_c 7.869
_cell_angle_alpha 90.00
_cell_angle_beta 90.00
_cell_angle_gamma 90.00
loop_
_atom_site_label
_atom_site_type_symbol
_atom_site_fract_x
_atom_site_fract_y
_atom_site_fract_z
Sm1 Sm 0.000 0.500 0.000
Sm2 Sm 0.500 0.000 0.500
Sm3 Sm 0.500 0.000 0.000
Sm4 Sm 0.000 0.500 0.500
C1 C 0.493 0.559 0.750
C2 C 0.007 0.059 0.250
C3 C 0.507 0.441 0.250
C4 C 0.993 0.941 0.750
O1 O 0.977 0.155 0.102
O2 O 0.523 0.655 0.602
O3 O 0.523 0.655 0.898
O4 O 0.023 0.845 0.602
O5 O 0.023 0.845 0.898
O6 O 0.477 0.345 0.398
O7 O 0.477 0.345 0.102
O8 O 0.977 0.155 0.398
O9 O 0.280 0.414 0.750
O10 O 0.220 0.914 0.250
O11 O 0.720 0.586 0.250
O12 O 0.780 0.086 0.750

---

7.
# PBE-GGA BeVTe, optimized geometry
# Calculated volume ... 118.9 Å³ per cell
# Formation energy (no corrections) ... -0.0398 eV per atom
# Total magnetic moment ... 0.00 μB/cell
data_BeVTe
_chemical_formula_sum 'Be2 V2 Te2'
_symmetry_space_group_name_H-M 'P 1'
_symmetry_Int_Tables_number 1
_symmetry_space_group_name_Hall 'P 1'
_cell_length_a 3.929
_cell_length_b 3.916
_cell_length_c 8.274
_cell_angle_alpha 83.37
_cell_angle_beta 86.24
_cell_angle_gamma 70.18
loop_
_atom_site_label
_atom_site_type_symbol
_atom_site_fract_x
_atom_site_fract_y
_atom_site_fract_z
Be1 Be 0.827 0.410 0.191
Be2 Be 0.540 0.113 0.348
Te1 Te 0.679 0.979 0.030
Te2 Te 0.281 0.792 0.611
V1 V 0.178 0.762 0.285
V2 V 0.906 0.444 0.460